Record 1
4
Lattice="0.000 3.906 3.906 3.906 0.000 3.906 3.906 3.906 0.000" Properties=species:S:1:pos:R:3 comment="LaGdScPb (PBE, optimized geometry)" magnetic_moment_mub_per_fu=8.4 e_tot_ev_per_atom=-7.42 dos_at_fermi_per_ev_fu=5.34 pbc="T T T"
La 0.000 0.000 0.000
Gd 3.906 3.906 3.906
Sc 5.859 5.859 5.859
Pb 1.953 1.953 1.953

---

Record 2
7
Lattice="2.546 1.470 10.165 -2.546 1.470 10.165 0.000 -2.939 10.165" Properties=species:S:1:pos:R:3 comment="Sm4TmAl2 (PBE, optimized geometry)" e_above_lowest_polymorph_ev_per_atom=0.273 magnetic_moment_mub_per_fu=0.0 e_tot_ev_per_atom=-4.30 dos_at_fermi_per_ev_fu=11.74 pbc="T T T"
Sm 0.000 0.000 3.201
Sm 0.000 0.000 9.085
Sm 0.000 0.000 21.408
Sm 0.000 0.000 27.293
Tm 0.000 0.000 15.247
Al 0.000 0.000 12.248
Al 0.000 0.000 18.246

---

Record 3
8
Lattice="-2.635 2.635 8.824 2.635 -2.635 8.824 2.635 2.635 -8.824" Properties=species:S:1:pos:R:3 comment="SrFeHg2 (PBE, optimized geometry)" magnetic_moment_mub_per_fu=2.5 e_tot_ev_per_atom=-2.43 dos_at_fermi_per_ev_fu=4.27 pbc="T T T"
Sr 0.000 0.000 0.000
Sr 0.000 2.635 4.412
Fe 2.635 0.000 4.412
Fe 0.000 0.000 8.824
Hg 1.317 -0.642 6.618
Hg 1.993 1.317 2.206
Hg 1.317 3.277 -2.206
Hg 0.642 1.317 11.030

---

Record 4
9
Lattice="5.732 -2.288 0.000 5.732 2.288 0.000 -2.926 0.000 8.342" Properties=species:S:1:pos:R:3 comment="Li2Tb3Sn4 (PBE, optimized geometry)" magnetic_moment_mub_per_fu=0.0 e_tot_ev_per_atom=-4.37 dos_at_fermi_per_ev_fu=2.69 pbc="T T T"
Li 1.049 0.000 3.025
Li 7.489 0.000 5.317
Tb -0.480 0.000 5.732
Tb 5.732 0.000 0.000
Tb 9.018 0.000 2.610
Sn 2.127 0.000 0.602
Sn 3.075 0.000 5.093
Sn 5.463 0.000 3.249
Sn 6.411 0.000 7.740

---

Record 5
4
Lattice="0.000 3.265 3.265 3.265 0.000 3.265 3.265 3.265 0.000" Properties=species:S:1:pos:R:3 comment="MnNbCd2 (PBE, optimized geometry)" e_above_lowest_polymorph_ev_per_atom=0.000 magnetic_moment_mub_per_fu=0.0 e_tot_ev_per_atom=-4.57 dos_at_fermi_per_ev_fu=6.96 pbc="T T T"
Mn 0.000 0.000 0.000
Nb 3.265 3.265 3.265
Cd 1.632 1.632 1.632
Cd 4.897 4.897 4.897

---

Record 6
4
Lattice="2.090 1.207 7.392 -2.090 1.207 7.392 0.000 -2.413 7.392" Properties=species:S:1:pos:R:3 comment="Th2AsAu (PBE, optimized geometry)" magnetic_moment_mub_per_fu=0.0 e_tot_ev_per_atom=-6.61 dos_at_fermi_per_ev_fu=2.50 pbc="T T T"
Th 0.000 0.000 5.483
Th 0.000 0.000 16.694
As 0.000 0.000 11.089
Au 0.000 0.000 0.000

---

Record 7
4
Lattice="-2.058 2.058 4.361 2.058 -2.058 4.361 2.058 2.058 -4.361" Properties=species:S:1:pos:R:3 comment="YAgPt2 (PBE, optimized geometry)" magnetic_moment_mub_per_fu=0.0 e_tot_ev_per_atom=-6.09 dos_at_fermi_per_ev_fu=1.46 pbc="T T T"
Y 0.000 0.000 0.000
Ag 2.058 0.000 2.180
Pt 0.000 0.000 4.361
Pt 0.000 2.058 2.180

---

Record 8
5
Lattice="6.042 0.000 0.000 0.000 6.042 0.000 0.000 0.000 6.042" Properties=species:S:1:pos:R:3 comment="KHgBi3 (PBE, optimized geometry)" e_above_lowest_polymorph_ev_per_atom=1.127 magnetic_moment_mub_per_fu=0.0 e_tot_ev_per_atom=-1.62 dos_at_fermi_per_ev_fu=8.34 pbc="T T T"
K 0.000 0.000 0.000
Hg 3.021 3.021 3.021
Bi 0.000 0.000 3.021
Bi 0.000 3.021 0.000
Bi 3.021 0.000 0.000

---

Record 9
16
Lattice="4.105 2.370 6.903 -4.105 2.370 6.903 0.000 -4.740 6.903" Properties=species:S:1:pos:R:3 comment="Th8PIr3S4 (PBE, optimized geometry)" formation_energy_uncorrected_mev_per_atom=-1429 magnetic_moment_mub_per_fu=0.0 e_tot_ev_per_atom=-8.17 dos_at_fermi_per_ev_fu=12.51 pbc="T T T"
Th 0.000 0.000 5.035
Th -2.074 -1.197 12.024
Th 0.000 -2.394 8.684
Th -2.074 1.197 8.684
Th 2.074 -1.197 12.024
Th 0.000 2.394 12.024
Th 2.074 1.197 8.684
Th 0.000 0.000 15.673
P 0.000 0.000 10.354
Ir -4.105 0.000 10.354
Ir -2.053 1.185 3.451
Ir 2.053 1.185 3.451
S 0.000 0.000 0.000
S -2.053 -1.185 6.903
S -2.053 1.185 13.806
S 0.000 2.370 6.903

---

Record 10
5
Lattice="4.451 0.000 0.000 0.000 4.451 0.000 0.000 0.000 4.451" Properties=species:S:1:pos:R:3 comment="Ga3CoPt (PBE, optimized geometry)" e_above_lowest_polymorph_ev_per_atom=0.505 magnetic_moment_mub_per_fu=0.0 e_tot_ev_per_atom=-4.34 dos_at_fermi_per_ev_fu=2.84 pbc="T T T"
Ga 0.000 0.000 2.226
Ga 0.000 2.226 0.000
Ga 2.226 0.000 0.000
Co 0.000 0.000 0.000
Pt 2.226 2.226 2.226

---

Record 11
8
Lattice="7.400 0.000 0.000 0.000 4.229 0.000 -2.424 0.000 7.102" Properties=species:S:1:pos:R:3 comment="AcPm2PrSe4 (PBE, optimized geometry)" formation_energy_uncorrected_mev_per_atom=-1836 magnetic_moment_mub_per_fu=0.0 e_tot_ev_per_atom=-5.88 dos_at_fermi_per_ev_fu=4.96 pbc="T T T"
Ac 0.000 0.000 0.000
Pm -1.212 2.114 3.551
Pm 2.488 0.000 3.551
Pr 3.700 2.114 0.000
Se 0.066 0.000 5.255
Se 1.281 2.114 1.876
Se 3.695 2.114 5.226
Se 4.910 0.000 1.847

---

Record 12
9
Lattice="8.874 0.000 0.000 -4.437 7.685 0.000 0.000 0.000 3.729" Properties=species:S:1:pos:R:3 comment="Ho3Er3TlIn2 (PBE, optimized geometry)" magnetic_moment_mub_per_fu=0.9 e_tot_ev_per_atom=-4.20 dos_at_fermi_per_ev_fu=10.63 pbc="T T T"
Ho -3.155 5.464 0.000
Ho 1.282 2.221 0.000
Ho 6.309 0.000 0.000
Er -1.690 2.926 1.865
Er 3.379 0.000 1.865
Er 2.747 4.759 1.865
Tl 0.000 0.000 1.865
In 0.000 5.123 0.000
In 4.437 2.562 0.000